# 1
Density functional theory data (PBE) for crystalline TcMoRh at its relaxed geometry.

Unit cell a=6.287 b=6.287 c=6.287 alpha=154.95 beta=154.95 gamma=35.72
Fractional positions:
1 Mo 0.002 0.002 0.000
2 Rh 0.669 0.669 0.000
3 Tc 0.329 0.329 0.000

Values from the calculation:
distance to the lowest polymorph of the same formula = 57 meV per atom
total moment = 0.0 μB/f.u.
symmetry = No. 107
D(E_F) = 3.8 states/eV per cell
E_form = -0.011 eV/atom

# 2
Density functional theory data (PBE) for crystalline TcMoRh at its relaxed geometry.

Unit cell a=4.993 b=4.993 c=4.993 alpha=142.52 beta=142.52 gamma=54.05
Each line ends with the local moment (μB).
Fractional positions:
1 Mo 0.010 0.010 0.000  0.01
2 Rh 0.337 0.337 0.000  0.07
3 Tc 0.653 0.653 0.000  0.03

Values from the calculation:
distance to the lowest polymorph of the same formula = 254 meV per atom
total moment = 0.1 μB/f.u.
symmetry = No. 107
D(E_F) = 5.3 states/eV per cell
E_form = 0.187 eV/atom

# 3
Density functional theory data (PBE) for crystalline TcMoRh at its relaxed geometry.

Unit cell a=4.818 b=4.818 c=4.818 alpha=147.61 beta=131.30 gamma=59.71
Fractional positions:
1 Mo 0.000 0.000 0.000
2 Rh 0.332 0.332 0.000
3 Tc 0.668 0.668 0.000

Values from the calculation:
distance to the lowest polymorph of the same formula = 77 meV per atom
total moment = 0.0 μB/f.u.
symmetry = No. 44
D(E_F) = 3.3 states/eV per cell
E_form = 0.010 eV/atom

# 4
Density functional theory data (PBE) for crystalline Tc2MoRh2 at its relaxed geometry.

Unit cell a=7.489 b=7.489 c=2.706 alpha=90.00 beta=90.00 gamma=90.00
Fractional positions:
1 Mo 0.000 0.000 0.000
2 Mo 0.500 0.500 0.000
3 Rh 0.377 0.877 0.000
4 Rh 0.877 0.623 0.000
5 Rh 0.623 0.123 0.000
6 Rh 0.123 0.377 0.000
7 Tc 0.174 0.674 0.500
8 Tc 0.674 0.826 0.500
9 Tc 0.826 0.326 0.500
10 Tc 0.326 0.174 0.500

Values from the calculation:
total moment = 0.0 μB/f.u.
symmetry = No. 127
D(E_F) = 11.8 states/eV per cell
E_form = 0.165 eV/atom

# 5
Density functional theory data (PBE) for crystalline TcMoRh at its relaxed geometry.

Unit cell a=4.199 b=4.199 c=4.199 alpha=60.00 beta=60.00 gamma=60.00
Fractional positions:
1 Mo 0.750 0.750 0.750
2 Rh 0.000 0.000 0.000
3 Tc 0.500 0.500 0.500

Values from the calculation:
distance to the lowest polymorph of the same formula = 612 meV per atom
total moment = 0.0 μB/f.u.
symmetry = No. 216
D(E_F) = 4.9 states/eV per cell
E_form = 0.545 eV/atom

# 6
Density functional theory data (PBE) for crystalline TcMo2Rh at its relaxed geometry.

Unit cell a=4.427 b=4.427 c=4.427 alpha=60.00 beta=60.00 gamma=60.00
Each line ends with the local moment (μB).
Fractional positions:
1 Mo 0.250 0.250 0.250  0.39
2 Mo 0.750 0.750 0.750  0.39
3 Rh 0.500 0.500 0.500  0.44
4 Tc 0.000 0.000 0.000  0.02

Values from the calculation:
distance to the lowest polymorph of the same formula = 239 meV per atom
total moment = 1.3 μB/f.u.
symmetry = No. 225
D(E_F) = 5.0 states/eV per cell
E_form = 0.226 eV/atom

# 7
Density functional theory data (PBE) for crystalline TcMo2Rh at its relaxed geometry.

Unit cell a=4.800 b=4.800 c=4.794 alpha=131.67 beta=131.68 gamma=70.84
Fractional positions:
1 Mo 0.000 0.000 0.000
2 Mo 0.500 0.500 0.000
3 Rh 0.750 0.250 0.500
4 Tc 0.250 0.750 0.500

Values from the calculation:
distance to the lowest polymorph of the same formula = 8 meV per atom
total moment = 0.0 μB/f.u.
symmetry = No. 69
D(E_F) = 4.6 states/eV per cell
E_form = -0.006 eV/atom

# 8
Density functional theory data (PBE) for crystalline TcMo2Rh at its relaxed geometry.

Unit cell a=4.843 b=4.843 c=4.843 alpha=132.59 beta=132.58 gamma=69.31
Fractional positions:
1 Mo 0.000 0.000 0.000
2 Mo 0.750 0.250 0.500
3 Rh 0.500 0.500 0.000
4 Tc 0.250 0.750 0.500

Values from the calculation:
distance to the lowest polymorph of the same formula = 42 meV per atom
total moment = 0.0 μB/f.u.
symmetry = No. 119
D(E_F) = 4.1 states/eV per cell
E_form = 0.029 eV/atom

# 9
Density functional theory data (PBE) for crystalline TcMo2Rh at its relaxed geometry.

Unit cell a=9.395 b=9.395 c=9.395 alpha=16.86 beta=16.86 gamma=16.86
Fractional positions:
1 Mo 0.002 0.002 0.002
2 Mo 0.246 0.246 0.246
3 Rh 0.500 0.500 0.500
4 Tc 0.752 0.752 0.752

Values from the calculation:
distance to the lowest polymorph of the same formula = 148 meV per atom
total moment = 0.0 μB/f.u.
symmetry = No. 160
D(E_F) = 4.7 states/eV per cell
E_form = 0.135 eV/atom

# 10
Density functional theory data (PBE) for crystalline TcMoRh at its relaxed geometry.

Unit cell a=2.737 b=2.737 c=6.885 alpha=90.00 beta=90.00 gamma=120.00
Fractional positions:
1 Mo 0.000 0.000 0.002
2 Rh 0.333 0.667 0.335
3 Tc 0.667 0.333 0.663

Values from the calculation:
distance to the lowest polymorph of the same formula = 123 meV per atom
total moment = 0.0 μB/f.u.
symmetry = No. 156
D(E_F) = 4.4 states/eV per cell
E_form = 0.056 eV/atom

# 11
Density functional theory data (PBE) for crystalline TcMo2Rh at its relaxed geometry.

Unit cell a=2.759 b=3.914 c=5.619 alpha=90.00 beta=90.00 gamma=90.00
Fractional positions:
1 Mo 0.000 0.000 0.990
2 Mo 0.500 0.500 0.257
3 Rh 0.000 0.000 0.498
4 Tc 0.500 0.500 0.755

Values from the calculation:
distance to the lowest polymorph of the same formula = 93 meV per atom
total moment = 0.0 μB/f.u.
symmetry = No. 25
D(E_F) = 4.3 states/eV per cell
E_form = 0.080 eV/atom

# 12
Density functional theory data (PBE) for crystalline TcMo2Rh at its relaxed geometry.

Unit cell a=9.177 b=9.177 c=9.177 alpha=17.42 beta=17.42 gamma=17.42
Fractional positions:
1 Mo 0.000 0.000 0.000
2 Mo 0.500 0.500 0.500
3 Rh 0.250 0.250 0.250
4 Tc 0.750 0.750 0.750

Values from the calculation:
distance to the lowest polymorph of the same formula = 98 meV per atom
total moment = 0.0 μB/f.u.
symmetry = No. 166
D(E_F) = 6.2 states/eV per cell
E_form = 0.084 eV/atom

# 13
Density functional theory data (PBE) for crystalline TcMo2Rh at its relaxed geometry.

Unit cell a=4.310 b=2.685 c=5.420 alpha=76.23 beta=90.00 gamma=90.00
Fractional positions:
1 Mo 0.000 0.047 0.996
2 Mo 0.500 0.201 0.257
3 Rh 0.000 0.436 0.493
4 Tc 0.500 0.816 0.754

Values from the calculation:
distance to the lowest polymorph of the same formula = 84 meV per atom
total moment = 0.0 μB/f.u.
symmetry = No. 6
D(E_F) = 4.1 states/eV per cell
E_form = 0.071 eV/atom

# 14
Density functional theory data (PBE) for crystalline TcMo2Rh at its relaxed geometry.

Unit cell a=4.794 b=4.794 c=4.850 alpha=80.63 beta=80.63 gamma=33.38
Fractional positions:
1 Mo 0.003 0.003 0.997
2 Mo 0.497 0.497 0.503
3 Rh 0.750 0.750 0.750
4 Tc 0.250 0.250 0.250

Values from the calculation:
distance to the lowest polymorph of the same formula = 57 meV per atom
total moment = 0.0 μB/f.u.
symmetry = No. 12
D(E_F) = 3.7 states/eV per cell
E_form = 0.044 eV/atom

# 15
Density functional theory data (PBE) for crystalline TcMo2Rh at its relaxed geometry.

Unit cell a=3.919 b=2.762 c=6.224 alpha=63.66 beta=90.00 gamma=90.00
Fractional positions:
1 Mo 0.000 0.004 0.997
2 Mo 0.000 0.496 0.503
3 Rh 0.500 0.250 0.250
4 Tc 0.500 0.750 0.750

Values from the calculation:
distance to the lowest polymorph of the same formula = 26 meV per atom
total moment = 0.0 μB/f.u.
symmetry = No. 47
D(E_F) = 4.0 states/eV per cell
E_form = 0.013 eV/atom

# 16
Density functional theory data (PBE) for crystalline TcMo2Rh at its relaxed geometry.

Unit cell a=2.783 b=2.783 c=7.809 alpha=90.00 beta=90.00 gamma=90.01
Fractional positions:
1 Mo 0.000 0.000 0.998
2 Mo 0.000 0.000 0.502
3 Rh 0.500 0.500 0.250
4 Tc 0.500 0.500 0.750

Values from the calculation:
distance to the lowest polymorph of the same formula = 24 meV per atom
total moment = 0.0 μB/f.u.
symmetry = No. 123
D(E_F) = 4.5 states/eV per cell
E_form = 0.011 eV/atom

# 17
Density functional theory data (PBE) for crystalline TcMo2Rh at its relaxed geometry.

Unit cell a=2.695 b=2.695 c=8.546 alpha=90.00 beta=90.00 gamma=101.73
Fractional positions:
1 Mo 0.000 0.000 0.995
2 Mo 0.500 0.500 0.260
3 Rh 0.000 0.000 0.505
4 Tc 0.500 0.500 0.740

Values from the calculation:
distance to the lowest polymorph of the same formula = 83 meV per atom
total moment = 0.0 μB/f.u.
symmetry = No. 35
D(E_F) = 3.9 states/eV per cell
E_form = 0.070 eV/atom

# 18
Density functional theory data (PBE) for crystalline TiTcMoRh at its relaxed geometry.

Unit cell a=4.406 b=4.406 c=4.406 alpha=60.00 beta=60.00 gamma=60.00
Fractional positions:
1 Mo 0.250 0.250 0.250
2 Rh 0.500 0.500 0.500
3 Tc 0.000 0.000 0.000
4 Ti 0.750 0.750 0.750

Values from the calculation:
total moment = 0.0 μB/f.u.
symmetry = No. 216
D(E_F) = 4.5 states/eV per cell
E_form = -0.245 eV/atom

# 19
Density functional theory data (PBE) for crystalline TlTcMo2Rh at its relaxed geometry.

Unit cell a=4.745 b=4.721 c=4.745 alpha=90.00 beta=90.00 gamma=90.00
Each line ends with the local moment (μB).
Fractional positions:
1 Mo 0.000 0.000 0.500  0.18
2 Mo 0.500 0.000 0.000  0.46
3 Tl 0.500 0.500 0.500  -0.01
4 Rh 0.000 0.000 0.000  -0.03
5 Tc 0.000 0.500 0.000  0.79

Values from the calculation:
total moment = 1.5 μB/f.u.
symmetry = No. 123
D(E_F) = 5.9 states/eV per cell
E_form = 1.609 eV/atom

# 20
Density functional theory data (PBE) for crystalline VTcMoRh at its relaxed geometry.

Unit cell a=4.369 b=4.369 c=4.369 alpha=60.00 beta=60.00 gamma=60.00
Each line ends with the local moment (μB).
Fractional positions:
1 Mo 0.000 0.000 0.000  0.41
2 Rh 0.750 0.750 0.750  0.46
3 Tc 0.250 0.250 0.250  -0.13
4 V 0.500 0.500 0.500  1.06

Values from the calculation:
total moment = 1.9 μB/f.u.
symmetry = No. 216
D(E_F) = 7.2 states/eV per cell
E_form = -0.003 eV/atom